1.
PBE CuRuI, relaxed; electronic total energy = -4.6264 eV/atom; formation energy (no corrections) = 0.35 eV/atom; V = 137 Å³ per cell; excess energy over the best structure of this formula in the dataset = 6.9 kJ/mol of atoms; total magnetization = 0.00 μB/f.u.
1.0
-0.637 3.022 2.080
-3.914 -0.786 -0.056
-0.519 -5.347 7.664
I Ru Cu
2 2 2
Direct
0.391 0.771 0.110
0.896 0.102 0.471
0.894 0.393 0.700
0.394 0.767 0.673
0.392 0.316 0.906
0.891 0.835 0.885

---

2.
PBE CuRuI, relaxed; electronic total energy = -4.6653 eV/atom; formation energy (no corrections) = 0.31 eV/atom; V = 279 Å³ per cell; excess energy over the best structure of this formula in the dataset = 3.2 kJ/mol of atoms; total magnetization = 0.32 μB/f.u.
1.0
10.699 0.000 0.000
0.000 3.925 0.000
-1.461 0.000 6.640
I Ru Cu
4 4 4
Direct
0.898 0.000 0.219
0.898 0.500 0.719
0.531 0.000 0.433
0.531 0.500 0.933
0.375 0.000 0.714
0.375 0.500 0.214
0.282 0.000 0.016
0.282 0.500 0.516
0.032 0.000 0.931
0.032 0.500 0.431
0.138 0.000 0.633
0.138 0.500 0.133

---

3.
PBE CuRuI, relaxed; electronic total energy = -4.6392 eV/atom; formation energy (no corrections) = 0.33 eV/atom; V = 138 Å³ per cell; excess energy over the best structure of this formula in the dataset = 5.7 kJ/mol of atoms; total magnetization = 0.00 μB/f.u.
1.0
3.963 0.000 0.000
-1.981 3.432 0.000
0.000 0.000 10.144
I Ru Cu
2 2 2
Direct
0.333 0.667 0.102
0.667 0.333 0.471
0.000 0.000 0.716
0.333 0.667 0.638
0.667 0.333 0.851
0.000 0.000 0.966

---

4.
PBE Cu2RuI6, relaxed; electronic total energy = -3.0506 eV/atom; formation energy (no corrections) = -0.08 eV/atom; V = 672 Å³ per cell; total magnetization = 1.48 μB/f.u.
1.0
6.890 -0.296 1.487
1.858 9.690 0.880
-0.487 0.349 9.888
Cu Ru I
4 2 12
Direct
0.360 0.461 0.658
0.140 0.342 0.539
0.640 0.539 0.342
0.860 0.658 0.461
0.250 0.079 0.921
0.750 0.921 0.079
0.486 0.688 0.556
0.014 0.444 0.312
0.514 0.312 0.444
0.986 0.556 0.688
0.860 0.897 0.331
0.640 0.669 0.103
0.140 0.103 0.669
0.360 0.331 0.897
0.115 0.832 0.963
0.385 0.037 0.168
0.885 0.168 0.037
0.615 0.963 0.832

---

5.
PBE CuRuI, relaxed; electronic total energy = -4.3036 eV/atom; formation energy (no corrections) = 0.67 eV/atom; V = 120 Å³ per cell; excess energy over the best structure of this formula in the dataset = 38.1 kJ/mol of atoms; total magnetization = 0.00 μB/f.u.
1.0
3.993 0.538 0.968
0.888 4.671 0.341
-0.103 -1.903 6.517
Ru Cu I
2 2 2
Direct
0.859 0.948 0.187
0.141 0.052 0.813
0.314 0.903 0.410
0.686 0.097 0.590
0.811 0.646 0.817
0.189 0.354 0.183

---

6.
PBE CuRuI, relaxed; electronic total energy = -4.6525 eV/atom; formation energy (no corrections) = 0.32 eV/atom; V = 138 Å³ per cell; excess energy over the best structure of this formula in the dataset = 4.4 kJ/mol of atoms; total magnetization = 0.00 μB/f.u.
1.0
-1.457 -3.442 1.031
0.021 -2.947 -2.519
9.559 -3.019 3.514
I Ru Cu
2 2 2
Direct
0.839 0.324 0.105
0.171 0.668 0.470
0.838 0.332 0.628
0.505 0.997 0.726
0.173 0.659 0.955
0.840 0.327 0.861

---

7.
PBE CuRuI6, relaxed; electronic total energy = -2.8511 eV/atom; formation energy (no corrections) = -0.02 eV/atom; V = 302 Å³ per cell; total magnetization = 0.00 μB/f.u.
1.0
-1.311 0.726 -6.905
6.917 -1.111 0.919
-2.060 -6.239 0.701
Cu Ru I
1 1 6
Direct
0.000 0.000 0.000
0.000 0.000 0.500
0.308 0.979 0.307
0.979 0.308 0.307
0.021 0.692 0.693
0.692 0.021 0.693
0.263 0.263 0.842
0.737 0.737 0.158

---

8.
PBE CuSb2RuI, relaxed; electronic total energy = -3.9480 eV/atom; formation energy (no corrections) = 0.69 eV/atom; V = 145 Å³ per cell; excess energy over the best structure of this formula in the dataset = 0.0 kJ/mol of atoms; total magnetization = 0.00 μB/f.u.
1.0
5.011 0.000 0.000
0.000 5.011 0.000
0.000 0.000 5.762
I Sb Cu Ru
1 2 1 1
Direct
0.000 0.000 0.500
0.000 0.500 0.000
0.500 0.000 0.000
0.500 0.500 0.500
0.000 0.000 0.000

---

9.
PBE CuSb2RuI, relaxed; electronic total energy = -3.4990 eV/atom; formation energy (no corrections) = 1.13 eV/atom; V = 133 Å³ per cell; excess energy over the best structure of this formula in the dataset = 43.3 kJ/mol of atoms; total magnetization = 1.77 μB/f.u.
1.0
-2.771 3.405 2.339
-3.297 0.222 -4.229
-2.780 -3.620 1.977
I Sb Cu Ru
1 2 1 1
Direct
0.000 0.500 0.000
0.000 0.000 0.500
0.500 0.000 0.000
0.000 0.000 0.000
0.500 0.500 0.500

---

10.
PBE CuSbRuI2, relaxed; electronic total energy = -3.3792 eV/atom; formation energy (no corrections) = 0.74 eV/atom; V = 152 Å³ per cell; excess energy over the best structure of this formula in the dataset = 0.0 kJ/mol of atoms; total magnetization = 0.00 μB/f.u.
1.0
5.535 0.000 0.000
0.000 5.535 0.000
0.000 0.000 4.967
I Sb Cu Ru
2 1 1 1
Direct
0.000 0.500 0.000
0.500 0.000 0.000
0.000 0.000 0.500
0.500 0.500 0.500
0.000 0.000 0.000

---

11.
PBE CuSbRuI2, relaxed; electronic total energy = -2.9743 eV/atom; formation energy (no corrections) = 1.14 eV/atom; V = 144 Å³ per cell; excess energy over the best structure of this formula in the dataset = 39.1 kJ/mol of atoms; total magnetization = 2.65 μB/f.u.
1.0
-0.601 -0.660 5.258
-5.218 -0.847 -0.703
0.875 -4.961 -0.522
I Sb Cu Ru
2 1 1 1
Direct
0.000 0.500 0.000
0.500 0.000 0.000
0.000 0.000 0.500
0.000 0.000 0.000
0.500 0.500 0.500

---

12.
PBE Sm6CuRu2I3, relaxed; electronic total energy = -5.2895 eV/atom; formation energy (no corrections) = -0.66 eV/atom; V = 359 Å³ per cell; total magnetization = 0.00 μB/f.u.
1.0
7.157 0.001 0.001
-3.576 6.199 0.001
-1.193 -2.066 8.097
Sm Cu Ru I
6 1 2 3
Direct
0.938 0.590 0.814
0.714 0.714 0.185
0.062 0.410 0.186
0.590 0.938 0.814
0.286 0.286 0.815
0.410 0.062 0.186
0.000 0.000 0.000
0.333 0.667 0.000
0.667 0.333 0.000
0.166 0.834 0.500
0.834 0.166 0.500
0.500 0.500 0.500